{"formula": "Pu2TlP2N6", "functional": "PBE-GGA", "state": "optimized geometry", "cell": [[6.2320, 0.0048, 0.0025], [3.1145, 5.7556, -0.0666], [-0.0017, -3.2901, 5.4065]], "species": ["N", "N", "N", "Pu", "Pu", "N", "N", "N", "P", "P", "Tl"], "frac_coords": [[0.9909, 0.5972, 0.8312], [0.0091, 0.4028, 0.1688], [0.4118, 0.5967, 0.8309], [0.1743, 0.6513, 0.1955], [0.8257, 0.3487, 0.8045], [0.5882, 0.4033, 0.1691], [0.0648, 0.8699, 0.6322], [0.9352, 0.1301, 0.3678], [0.8427, 0.3150, 0.2521], [0.1573, 0.6850, 0.7479], [0.5000, 0.0000, 0.5000]], "e_form_raw_ev_per_atom": -0.4756, "dft_energy_ev_per_atom": -8.82, "dos_at_fermi_per_ev_atom": 1.106, "density_kg_m3": 7234}